[1]
PBE Zn5Pd12Pt2, relaxed; E_form = -0.24 eV/atom; DFT total energy = -4.488 eV per atom
1.0
-6.9581 0.8661 0.8581
2.3801 -4.4871 -5.2482
-0.0537 -4.8161 4.4254
Pd Zn Pt
12 5 2
Direct
0.1805 0.7902 0.3975
0.1623 0.3246 0.8696
0.8195 0.2098 0.6025
0.0184 0.6155 0.7842
0.8377 0.6754 0.1304
0.4476 0.8953 0.7432
0.5524 0.1047 0.2568
0.6098 0.7902 0.3975
0.9816 0.3845 0.2158
0.4029 0.3845 0.2158
0.3902 0.2098 0.6025
0.5971 0.6155 0.7842
0.2464 0.4928 0.5305
0.6499 0.2997 0.9270
0.7536 0.5072 0.4695
0.0000 0.0000 0.5000
0.3501 0.7003 0.0730
0.7986 0.0000 0.0000
0.2014 0.0000 0.0000

[2]
PBE BaSn2B, relaxed; E_form = 0.18 eV/atom; DFT total energy = -3.975 eV per atom
1.0
8.0253 0.0000 0.0000
0.0000 8.0253 0.0000
4.0127 4.0127 3.3473
Ba Sn B
2 4 2
Direct
0.7500 0.2500 0.5000
0.0000 0.0000 0.0000
0.2287 0.6250 0.2500
0.3750 0.4787 0.7500
0.5213 0.1250 0.2500
0.8750 0.7713 0.7500
0.2500 0.7500 0.5000
0.5000 0.5000 0.0000

[3]
PBE SmGa5Ir2Rh, relaxed; E_form = -0.27 eV/atom; DFT total energy = -5.259 eV per atom
1.0
4.7896 0.0000 0.0000
0.0000 4.7896 0.0000
0.0000 0.0000 7.6572
Ir Ga Rh Sm
2 5 1 1
Direct
0.5000 0.5000 0.2006
0.5000 0.5000 0.7994
0.0000 0.5000 0.1772
0.5000 0.5000 0.5000
0.5000 0.0000 0.1772
0.5000 0.0000 0.8228
0.0000 0.5000 0.8228
0.0000 0.0000 0.0000
0.0000 0.0000 0.5000

[4]
PBE KTaMn2, relaxed; E_form = 1.27 eV/atom; DFT total energy = -6.557 eV per atom
1.0
-3.4521 -3.2680 -0.5793
-3.8194 0.0139 2.8887
-4.2808 1.3142 -1.6970
Mn Ta K
2 1 1
Direct
0.7500 0.7500 0.7500
0.2500 0.2500 0.2500
0.5000 0.5000 0.5000
0.0000 0.0000 0.0000